5
Lattice="5.3440 0.0069 0.0110 -2.1153 4.9076 -0.0110 -2.1153 -2.1281 4.4221" Properties=species:S:1:pos:R:3 comment="Ge2Pb2O meta-GGA SCAN single point on PBEsol structure" dos_ef_per_ev_fu=2.40 raw_formation_energy_ev_per_atom=-0.136 magnetic_moment_mub_per_fu=0.00 spacegroup=I4/mmm total_energy_ev_per_atom=-39.330 pbc="T T T"
Pb 0.5567 3.1521 1.1028
Pb 0.5567 -0.3658 3.3194
Ge -3.0843 2.0263 3.2159
Ge -1.1463 0.7531 1.1952
O 0.0000 0.0000 0.0000